Record 1
The following is a PBE calculation of a geometry-optimized Hf2MgAgAs structure, from Alexandria via LeMat-Bulk.

```
Hf2MgAgAs
1.0
5.0092 0.0000 0.0000
0.0000 5.0092 0.0000
0.0000 0.0000 4.8645
Hf Mg Ag As
2 1 1 1
direct
0.0000 0.5000 0.0000
0.5000 0.0000 0.0000
0.0000 0.0000 0.5000
0.5000 0.5000 0.5000
0.5000 0.5000 0.0000
```

Properties
The value obtained for the final energy is -27.63 eV for the cell shown. Its volume is 24.4 Å³ per atom. As for the space group: P4/mmm (123). The calculation puts the magnetization at 0.000 μB/atom.

---

Record 2
The following is a PBE calculation of a geometry-optimized HfAgAsN2 structure, from Alexandria via LeMat-Bulk.

```
HfAgAsN2
1.0
3.9330 0.0000 0.0000
0.0000 3.9330 0.0000
0.0000 0.0000 5.3013
Hf Ag As N
1 1 1 2
direct
0.0000 0.0000 0.0000
0.5000 0.5000 0.0000
0.0000 0.0000 0.5000
0.0000 0.5000 0.5000
0.5000 0.0000 0.5000
```

Properties
Its volume is 16.4 Å³ per atom. The uncorrected formation energy comes out at 690.2 kJ/mol of formula units. As for the space group: P4/mmm (123). The calculation puts the magnetization at 0.000 μB/atom.

---

Record 3
The following is a PBE calculation of a geometry-optimized HfAg2As2O6 structure, from Alexandria via LeMat-Bulk.

```
HfAg2As2O6
1.0
4.5056 -2.8289 0.0000
4.5056 2.8289 0.0000
-1.8207 0.0000 7.5578
Hf Ag As O
1 2 2 6
direct
0.0000 0.0000 0.0000
0.1499 0.1499 0.4457
0.8501 0.8501 0.5543
0.2936 0.2936 0.7577
0.7064 0.7064 0.2423
0.1722 0.6658 0.8004
0.2038 0.2038 0.9304
0.3342 0.8278 0.1996
0.6658 0.1722 0.8004
0.7962 0.7962 0.0696
0.8278 0.3342 0.1996
```

Properties
Its volume is 17.5 Å³ per atom. The uncorrected formation energy comes out at -1652.7 kJ/mol of formula units. As for the space group: C2/m (12). The calculation puts the magnetization at 0.000 μB/atom.

---

Record 4
The following is a PBE calculation of a geometry-optimized HfAgAs2Se structure, from Alexandria via LeMat-Bulk.

```
HfAgAs2Se
1.0
5.1697 0.0000 0.0000
0.0000 5.1697 0.0000
0.0000 0.0000 5.1366
Hf Ag As Se
1 1 2 1
direct
0.0000 0.0000 0.0000
0.5000 0.5000 0.5000
0.0000 0.5000 0.0000
0.5000 0.0000 0.0000
0.0000 0.0000 0.5000
```

Properties
Its volume is 27.5 Å³ per atom. The uncorrected formation energy comes out at 78.8 kJ/mol of formula units. Its relative energy among the computed polymorphs is 0.00 eV/f.u. As for the space group: P4/mmm (123). The calculation puts the magnetization at 0.000 μB/atom.

---

Record 5
The following is a PBE calculation of a geometry-optimized HfAgAsSe2 structure, from Alexandria via LeMat-Bulk.

```
HfAgAsSe2
1.0
5.1555 0.0000 0.0000
0.0000 5.1555 0.0000
0.0000 0.0000 5.1983
Hf Ag As Se
1 1 1 2
direct
0.0000 0.0000 0.0000
0.5000 0.5000 0.5000
0.0000 0.0000 0.5000
0.0000 0.5000 0.0000
0.5000 0.0000 0.0000
```

Properties
Its volume is 27.6 Å³ per atom. The uncorrected formation energy comes out at -27.1 kJ/mol of formula units. Its relative energy among the computed polymorphs is 0.00 eV/f.u. As for the space group: P4/mmm (123). The calculation puts the magnetization at 0.000 μB/atom.

---

Record 6
The following is a PBE calculation of a geometry-optimized HfAgAsSe2 structure, from Alexandria via LeMat-Bulk.

```
HfAgAsSe2
1.0
4.9417 0.0000 0.0000
0.0000 4.9417 0.0000
0.0000 0.0000 4.9285
Hf Ag As Se
1 1 1 2
direct
0.0000 0.0000 0.0000
0.5000 0.5000 0.5000
0.5000 0.5000 0.0000
0.0000 0.5000 0.5000
0.5000 0.0000 0.5000
```

Properties
Its volume is 24.1 Å³ per atom. The uncorrected formation energy comes out at 308.9 kJ/mol of formula units. Its relative energy among the computed polymorphs is 3.48 eV/f.u. As for the space group: P4/mmm (123). The calculation puts the magnetization at 0.000 μB/atom.

---

Record 7
The following is a PBE calculation of a geometry-optimized HfAgAs2Se structure, from Alexandria via LeMat-Bulk.

```
HfAgAs2Se
1.0
4.8770 0.0000 0.0000
0.0000 4.8770 0.0000
0.0000 0.0000 4.9998
Hf Ag As Se
1 1 2 1
direct
0.0000 0.0000 0.0000
0.5000 0.5000 0.5000
0.0000 0.5000 0.5000
0.5000 0.0000 0.5000
0.5000 0.5000 0.0000
```

Properties
Its volume is 23.8 Å³ per atom. The uncorrected formation energy comes out at 359.6 kJ/mol of formula units. Its relative energy among the computed polymorphs is 2.91 eV/f.u. As for the space group: P4/mmm (123). The calculation puts the magnetization at 0.000 μB/atom.

---

Record 8
The following is a PBE calculation of a geometry-optimized Hf2AgSnAs structure, from Alexandria via LeMat-Bulk.

```
Hf2AgSnAs
1.0
5.0257 0.0000 0.0000
0.0000 5.0257 0.0000
0.0000 0.0000 4.7644
Hf Ag Sn As
2 1 1 1
direct
0.0000 0.5000 0.0000
0.5000 0.0000 0.0000
0.0000 0.0000 0.5000
0.5000 0.5000 0.5000
0.0000 0.0000 0.0000
```

Properties
The value obtained for the final energy is -30.59 eV for the cell shown. Its volume is 24.1 Å³ per atom. As for the space group: P4/mmm (123). The calculation puts the magnetization at 0.000 μB/atom.